12
Lattice="3.929 0.000 0.000 -1.964 6.061 0.000 0.000 0.000 7.874" Properties=species:S:1:pos:R:3 comment="AgPt | Alexandria | PBEsol | optimized geometry" sg=Cmcm pbc="T T T"
Ag 0.000 0.001 1.969
Ag 1.964 6.060 5.906
Ag 1.964 0.000 3.937
Ag 0.000 4.086 1.969
Ag 1.964 1.976 5.906
Ag 1.964 0.000 0.000
Pt 1.964 3.981 3.998
Pt 1.964 2.064 1.969
Pt 1.964 3.981 7.814
Pt 0.000 3.997 5.906
Pt 0.000 2.080 3.877
Pt 0.000 2.080 0.061

***

10
Lattice="4.872 -0.001 -0.003 -1.566 5.368 0.000 -0.889 -1.678 6.033" Properties=species:S:1:pos:R:3 comment="Ag3Pt2 | Alexandria | PBEsol | optimized geometry" sg=P1 pbc="T T T"
Ag 2.416 0.741 1.196
Ag 2.456 2.220 3.612
Ag 0.772 0.259 4.814
Ag 4.855 -0.008 0.022
Ag 3.214 -0.473 3.594
Ag 4.079 2.688 0.028
Pt 0.031 1.499 2.438
Pt 1.606 3.438 1.183
Pt -0.001 2.938 4.802
Pt -0.803 4.137 2.427

***

12
Lattice="-3.927 -0.071 2.770 0.626 -5.836 2.340 2.669 1.815 5.432" Properties=species:S:1:pos:R:3 comment="AgPt | Alexandria | PBEsol | optimized geometry" sg=Cc pbc="T T T"
Ag 1.236 -3.074 8.746
Ag 0.717 -4.614 5.101
Ag -0.630 -1.328 1.738
Ag -1.069 -4.389 9.614
Ag -2.250 -0.077 3.643
Ag -0.225 -0.824 8.032
Pt 1.527 -1.086 3.531
Pt 0.862 -3.542 2.473
Pt 1.412 -2.046 6.109
Pt -0.760 -2.334 4.426
Pt -0.101 0.169 5.372
Pt -0.897 -3.376 6.971

***

6
Lattice="-2.425 0.412 -1.399 -1.437 -0.333 5.253 1.685 6.496 -1.007" Properties=species:S:1:pos:R:3 comment="Ag5Pt | Alexandria | PBEsol | optimized geometry" sg=Cm pbc="T T T"
Ag -1.592 1.695 3.258
Ag 0.737 3.967 -0.108
Ag -0.630 4.261 2.347
Ag -1.535 2.317 0.482
Ag 1.675 6.489 -0.991
Pt -0.801 6.288 0.380

***

12
Lattice="-0.348 -0.627 2.683 7.357 -3.989 0.020 1.226 8.182 2.073" Properties=species:S:1:pos:R:3 comment="AgPt | Alexandria | PBEsol | optimized geometry" sg=Pm pbc="T T T"
Pt 0.451 2.774 0.707
Pt 2.828 6.099 3.230
Pt 8.138 1.537 1.414
Pt 6.259 2.845 2.914
Pt 2.303 3.505 2.556
Pt 4.719 4.770 1.727
Ag 3.857 -0.661 0.345
Ag 1.968 0.728 1.863
Ag 4.256 2.109 1.045
Ag 0.050 -0.012 0.004
Ag 5.496 -2.622 1.536
Ag 5.838 0.108 2.219

***

4
Lattice="-0.731 0.157 2.681 -3.027 -3.519 -0.619 3.449 -3.165 1.125" Properties=species:S:1:pos:R:3 comment="AgPt | Alexandria | PBEsol | optimized geometry" sg=Pmmn pbc="T T T"
Ag 1.838 -1.687 0.600
Ag -0.268 -3.159 1.557
Pt 1.843 -4.839 0.786
Pt -0.272 -0.007 1.371

***

E_form (computed, eV per atom): 0.0315; 0.0199; 0.0157; 0.0086; -0.0069; -0.0040
Ρ (computed, g cm⁻³): 16.1; 15.0; 16.1; 12.5; 16.1; 16.0
D(E_F) (computed, states/eV/atom): 0.5945; 0.5779; 0.6549; 0.3159; 0.6692; 0.4852